First-principles (PBE) data for crystalline IrPbO2 at its relaxed geometry, as listed in the Alexandria database.

Summary:
VASP energy, eV/atom: -6.13
Crystal system: trigonal
Uncorrected formation energy, eV/atom: -0.51
Size of the total moment, μB/cell: 0.0

Cell lengths 3.2824, 3.2824, 19.8228 Å; angles 90.00, 90.00, 120.00 degrees
With the nearest neighbours (Å) after each atom.
Fractional coordinates of all 12 atoms:
Ir 0.0000 0.0000 0.0000  6 O 2.08
Ir 0.3333 0.6667 0.6667  6 O 2.08
Ir 0.6667 0.3333 0.3333  6 O 2.08
Pb 0.0000 0.0000 0.5000  2 O 2.44
Pb 0.3333 0.6667 0.1667  2 O 2.44
Pb 0.6667 0.3333 0.8333  2 O 2.44
O 0.0000 0.0000 0.3768  3 Ir 2.08
O 0.0000 0.0000 0.6232  3 Ir 2.08
O 0.3333 0.6667 0.0435  3 Ir 2.08
O 0.3333 0.6667 0.2898  3 Ir 2.08
O 0.6667 0.3333 0.7102  3 Ir 2.08
O 0.6667 0.3333 0.9565  3 Ir 2.08